Entry 1:
Computed, not measured: a relaxed Cd2Hg7H2 crystal at the GGA-PBE level of DFT.

Output
**M_tot**: 0.00 μB per cell
**Total DFT energy (no corrections)**: -0.756 eV per atom

Unit cell a=6.793 b=6.793 c=7.548 alpha=90.06 beta=90.06 gamma=54.37
Fractional positions:
1 H 0.716 0.284 0.500
2 Hg 0.000 0.000 0.000
3 Hg 0.500 0.500 0.306
4 Hg 0.000 0.500 0.694
5 Hg 0.500 0.500 0.694
6 Cd 0.643 0.643 0.000
7 Cd 0.357 0.357 0.000
8 Hg 0.000 0.500 0.306
9 Hg 0.500 0.000 0.306
10 H 0.284 0.716 0.500
11 Hg 0.500 0.000 0.694


Entry 2:
Computed, not measured: a relaxed Hf8SiP2 crystal at the GGA-PBE level of DFT.

Output
**M_tot**: 0.00 μB per cell
**Total DFT energy (no corrections)**: -9.211 eV per atom
**Uncorrected formation energy**: -495.1 meV per atom

Unit cell a=4.934 b=7.008 c=7.008 alpha=111.79 beta=98.32 gamma=98.32
Fractional positions:
1 Hf 0.679 0.379 0.379
2 Hf 0.910 0.924 0.675
3 Hf 0.321 0.621 0.621
4 P 0.000 0.685 0.315
5 Hf 0.090 0.325 0.076
6 P 0.000 0.315 0.685
7 Hf 0.500 0.758 0.242
8 Hf 0.090 0.076 0.325
9 Hf 0.500 0.242 0.758
10 Hf 0.910 0.675 0.924
11 Si 0.500 0.000 0.000


Entry 3:
Computed, not measured: a relaxed LuInAg crystal at the GGA-PBE level of DFT.

Output
**M_tot**: 0.00 μB per cell
**Total DFT energy (no corrections)**: -3.732 eV per atom
**ΔE_f**: -0.3617 eV per atom

Unit cell a=3.323 b=4.862 c=4.862 alpha=120.00 beta=90.00 gamma=90.00
Fractional positions:
1 Lu 0.667 0.667 0.333
2 In 0.166 0.000 0.000
3 Ag 0.167 0.333 0.667


Entry 4:
Computed, not measured: a relaxed TmTlAu crystal at the GGA-PBE level of DFT.

Output
**M_tot**: 0.00 μB per cell
**Total DFT energy (no corrections)**: -3.811 eV per atom
**ΔE_f**: -0.4395 eV per atom

Unit cell a=4.908 b=4.908 c=8.233 alpha=72.66 beta=72.66 gamma=60.00
Fractional positions:
1 Au 0.261 0.261 0.216
2 Au 0.739 0.739 0.784
3 Tm 0.615 0.615 0.156
4 Tl 0.129 0.129 0.613
5 Tl 0.871 0.871 0.387
6 Tm 0.385 0.385 0.844


Entry 5:
Computed, not measured: a relaxed CsPuZr2O8 crystal at the GGA-PBE level of DFT.

Output
**M_tot**: 1.00 μB per cell
**Total DFT energy (no corrections)**: -8.598 eV per atom
**Uncorrected formation energy**: -2602.6 meV per atom

Unit cell a=5.596 b=5.596 c=7.914 alpha=76.20 beta=76.20 gamma=71.91
Fractional positions:
1 O 0.757 0.217 0.820
2 Cs 0.000 0.000 0.500
3 O 0.243 0.783 0.180
4 O 0.783 0.243 0.180
5 Zr 0.455 0.455 0.710
6 O 0.217 0.757 0.820
7 O 0.356 0.356 0.511
8 Zr 0.545 0.545 0.290
9 O 0.216 0.216 0.905
10 O 0.784 0.784 0.095
11 O 0.644 0.644 0.489
12 Pu 0.000 0.000 0.000


Entry 6:
Computed, not measured: a relaxed Li2Ce2NdIn2 crystal at the GGA-PBE level of DFT.

Output
**M_tot**: 1.17 μB per cell
**Total DFT energy (no corrections)**: -3.933 eV per atom
**ΔE_f**: -0.2273 eV per atom

Unit cell a=4.667 b=4.667 c=9.640 alpha=75.99 beta=75.99 gamma=60.00
Fractional positions:
1 Ce 0.856 0.856 0.433
2 Ce 0.144 0.144 0.567
3 Li 0.586 0.586 0.243
4 In 0.737 0.737 0.788
5 Nd 0.000 0.000 0.000
6 Li 0.414 0.414 0.757
7 In 0.263 0.263 0.212


Question: Which formula does entry 5 have?
Answer: CsPuZr2O8


Question: M_tot of number 1 (Cd2Hg7H2)?
Answer: 0.00 μB per cell